# CoTc2GeRu

A relaxed CoTc2GeRu crystal (PBE, Alexandria).

Values from the calculation:
spin magnetization	2.332	μB/cell
calculated volume	88.21	Å³/f.u.
DFT formation energy	149	kJ/mol of atoms

Lattice parameters (Å, degrees): 4.469 4.417 4.469 90.00 90.00 90.00
Last column: magnetic moment on the atom in μB.
Atoms (fractional coordinates):
Tc 0.000 0.000 0.500  -0.14
Ge 0.000 0.000 0.000  -0.03
Ru 0.000 0.500 0.000  -0.09
Tc 0.500 0.000 0.000  0.03
Co 0.500 0.500 0.500  -2.18

# Nd5Dy2Y12

A relaxed Nd5Dy2Y12 crystal (PBE, Alexandria).

Values from the calculation:
spin magnetization	0.000	μB/cell
offset from the most stable computed form	0.000	kcal/mol of atoms
calculated volume	637.93	Å³/f.u.
DFT formation energy	8	kJ/mol of atoms

Lattice parameters (Å, degrees): 6.790 14.265 14.179 150.93 84.33 102.74
Atoms (fractional coordinates):
Y 0.665 0.714 0.101
Y 0.032 0.342 0.156
Nd 0.730 0.421 0.441
Y 0.431 0.516 0.723
Dy 0.730 0.925 0.939
Nd 0.609 0.222 0.625
Nd 0.270 0.579 0.559
Dy 0.270 0.075 0.061
Y 0.036 0.848 0.643
Y 0.335 0.286 0.899
Nd 0.391 0.778 0.375
Y 0.569 0.484 0.277
Y 0.964 0.152 0.357
Y 0.413 0.993 0.218
Y 0.587 0.007 0.782
Y 0.968 0.658 0.844
Y 0.148 0.559 0.962
Y 0.852 0.441 0.038
Nd 0.000 0.000 0.500

# Th2Sb3Rh4Au

A relaxed Th2Sb3Rh4Au crystal (PBE, Alexandria).

Values from the calculation:
formation energy (no corrections)	-0.733	eV per atom
spin magnetization	0.000	μB/cell
calculated volume	210.81	Å³/f.u.

Lattice parameters (Å, degrees): 4.199 4.199 11.955 90.00 90.00 90.00
Atoms (fractional coordinates):
Sb 0.500 0.000 0.871
Sb 0.000 0.500 0.129
Rh 0.000 0.000 0.000
Rh 0.500 0.000 0.659
Au 0.500 0.500 0.500
Rh 0.000 0.500 0.341
Sb 0.000 0.000 0.500
Th 0.000 0.500 0.735
Th 0.500 0.000 0.265
Rh 0.500 0.500 0.000